Here is a relaxed Sr2Li crystal from Alexandria via LeMat-Bulk. Energies are from PBE.

Computed properties:
magnetization	0.0	μB/cell
offset from the most stable computed form	84	meV per atom
DFT formation energy	0.101	eV/atom
N(E_F)	0.79	states/eV/atom
V	136.47	Å³/f.u.

a = 6.1873 Å, b = 6.1873 Å, c = 4.1163 Å
α = 90.00°, β = 90.00°, γ = 120.00°
Space group P-3m1 (No. 164)
Inequivalent atoms, fractional coordinates:
Sr  0.3333  0.6667  0.2746
Li  0.0000  0.0000  0.0000



Here is a relaxed LaMn2Fe crystal from Alexandria via LeMat-Bulk. Energies are from PBE.

Computed properties:
magnetization	8.1	μB/cell
offset from the most stable computed form	421	meV per atom
DFT formation energy	0.625	eV/atom
N(E_F)	1.26	states/eV/atom
V	78.08	Å³/f.u.

a = 4.523 Å, b = 4.523 Å, c = 15.266 Å
α = 90.00°, β = 90.00°, γ = 90.00°
Space group I4_1/amd (No. 141, origin choice 2)
Inequivalent atoms, fractional coordinates:
La  0.000  0.250  0.375
Mn  0.000  0.000  0.000
Fe  0.000  0.250  0.875



Here is a relaxed SrCN crystal from Alexandria via LeMat-Bulk. Energies are from PBE.

Computed properties:
magnetization	0.0	μB/cell
offset from the most stable computed form	0	meV per atom
N(E_F)	0.41	states/eV/atom
V	51.49	Å³/f.u.

a = 3.983 Å, b = 3.983 Å, c = 6.492 Å
α = 90.00°, β = 90.00°, γ = 90.00°
Space group I4mm (No. 107)
Inequivalent atoms, fractional coordinates:
Sr  0.000  0.000  0.000
C  0.000  0.000  0.406
N  0.000  0.000  0.596